Compound: TcHSeN2
Source: Alexandria
Functional: PBE
Structure: optimized geometry

As for the distance to the lowest polymorph of the same formula: 0.884 eV/atom. The volume comes out at 9.55 A^3/atom.

The structure belongs to space group P4/mmm (No. 123); the cell edges are 3.934, 3.934 and 3.085 Å and the angles 90.00°, 90.00° and 90.00°. The asymmetric unit holds Tc at (0.000, 0.000, 0.000), H at (0.500, 0.500, 0.500), Se at (0.500, 0.500, 0.000) and N at (0.000, 0.500, 0.500).

---

Compound: SrErBr5
Source: Alexandria
Functional: PBE
Structure: optimized geometry

The volume comes out at 38.62 A^3/atom. As for the uncorrected formation energy: -184.0 kJ per mole of atoms.

The structure belongs to space group C2/c (No. 15); the cell edges are 10.437, 10.672 and 10.623 Å and the angles 90.00°, 113.94° and 90.00°. The asymmetric unit holds Sr at (0.000, 0.076, 0.250), Er at (0.250, 0.250, 0.000), Br at (0.000, 0.226, 0.750), Br at (0.086, 0.309, 0.135) and Br at (0.208, 0.001, 0.541).

---

Compound: TaOsN2O
Source: Alexandria
Functional: PBE
Structure: optimized geometry

The volume comes out at 12.94 A^3/atom. As for the uncorrected formation energy: 53.2 kJ per mole of atoms.

The structure belongs to space group P4/mmm (No. 123); the cell edges are 4.105, 4.105 and 3.839 Å and the angles 90.00°, 90.00° and 90.00°. The asymmetric unit holds Ta at (0.000, 0.000, 0.000), Os at (0.500, 0.500, 0.500), N at (0.000, 0.500, 0.000) and O at (0.000, 0.000, 0.500).